## SrCuNiF6 (PBE with a Hubbard U)

Data for a relaxed SrCuNiF6 crystal.

Output
The space group is No. 1. The total energy is -4.711 eV per atom.

a = 5.2587 Å, b = 5.2650 Å, c = 5.2698 Å
α = 91.35°, β = 91.40°, γ = 116.72°
Element x y z (fractional)
1 Sr 0.0000 0.0000 0.0000
2 Cu 0.6730 0.3272 0.5002
3 Ni 0.3352 0.6652 0.5002
4 F 0.0076 0.3569 0.6934
5 F 0.0296 0.6457 0.2621
6 F 0.3557 0.9701 0.7391
7 F 0.3766 0.3544 0.2892
8 F 0.6432 0.9931 0.3070
9 F 0.6459 0.6229 0.7113